# Ni2RhF6, optimized geometry, DFT GGA+U
# total energy	-4.3755	eV/atom
# density of states at the Fermi level	0.530	states/eV per atom
data_Ni2RhF6
_chemical_formula_sum 'Ni2 Rh1 F6'
_cell_length_a 5.2490
_cell_length_b 5.2490
_cell_length_c 4.5493
_cell_angle_alpha 90.00
_cell_angle_beta 90.00
_cell_angle_gamma 120.00
_symmetry_space_group_name_H-M 'P -3 1 m'
_symmetry_Int_Tables_number 162
_symmetry_space_group_name_Hall '-P 3 2'
loop_
_atom_site_label
_atom_site_type_symbol
_atom_site_fract_x
_atom_site_fract_y
_atom_site_fract_z
Ni1 Ni 0.3333 0.6667 0.0000
Rh1 Rh 0.0000 0.0000 0.5000
F1 F 0.0000 0.3468 0.2359